# 1
Material: LaBeW2
Method: DFT, PBE
State: optimized geometry

Results
Total magnetic moment in μB per formula unit: 0.0
Theoretical density in g/cm3: 9.601
Space-group type: No. 122
Formation energy from the elements in meV/atom: 1022.4

Unit cell a=4.4889 b=4.4889 c=9.4031 alpha=76.19 beta=76.19 gamma=90.00
Closest atoms and distances in Å follow each position.
Sites, in units of the cell vectors:
Be1 0.5000 0.5000 0.0000  4 W 2.52
Be2 0.2500 0.7500 0.5000  4 W 2.52
W1 0.2785 0.1250 0.2500  2 W 2.41, 2 Be 2.52
W2 0.4715 0.6250 0.2500  2 W 2.41, 2 Be 2.52
W3 0.3750 0.7215 0.7500  2 W 2.41, 2 Be 2.52
W4 0.8750 0.5285 0.7500  2 W 2.41, 2 Be 2.52
La1 0.0000 0.0000 0.0000  4 W 3.07, 4 Be 3.17
La2 0.7500 0.2500 0.5000  4 W 3.07, 4 Be 3.17



# 2
Material: MgMnGaSiS
Method: DFT, PBE
State: optimized geometry

Results
Total magnetic moment in μB per formula unit: 0.7
Formation energy (no corrections) in meV per atom: -310
Theoretical density in g/cm3: 3.958
Space-group type: No. 160

Unit cell a=3.9999 b=3.9999 c=18.9976 alpha=90.00 beta=90.00 gamma=120.00
Closest atoms and distances in Å follow each position.
Sites, in units of the cell vectors:
Mg1 0.0000 0.0000 0.1431  3 S 2.44
Mg2 0.3333 0.6667 0.8098  3 S 2.44
Mg3 0.6667 0.3333 0.4764  3 S 2.44
Mn1 0.0000 0.0000 0.7194  3 Si 2.33, 1 S 2.49
Mn2 0.3333 0.6667 0.3861  3 Si 2.33, 1 S 2.49
Mn3 0.6667 0.3333 0.0527  3 Si 2.33, 1 S 2.49
Ga1 0.0000 0.0000 0.9832  1 S 2.52, 3 Si 2.53, 3 Mn 2.66
Ga2 0.3333 0.6667 0.6499  1 S 2.52, 3 Si 2.53, 3 Mn 2.66
Ga3 0.6667 0.3333 0.3166  1 S 2.52, 3 Si 2.53, 3 Mn 2.66
Si1 0.0000 0.0000 0.3709  3 Mn 2.33, 3 Ga 2.53
Si2 0.3333 0.6667 0.0376  3 Mn 2.33, 3 Ga 2.53
Si3 0.6667 0.3333 0.7043  3 Mn 2.33, 3 Ga 2.53
S1 0.0000 0.0000 0.8506  3 Mg 2.44, 1 Mn 2.49, 1 Ga 2.52
S2 0.3333 0.6667 0.5173  3 Mg 2.44, 1 Mn 2.49, 1 Ga 2.52
S3 0.6667 0.3333 0.1840  3 Mg 2.44, 1 Mn 2.49, 1 Ga 2.52